RbEu2Tm: optimized geometry, PBE-GGA.

As for the crystal system: trigonal. Its energy of formation from the pure elements is 0.23 eV per atom. The spin magnetization is 15.6 μB/f.u. The total DFT energy (no corrections) is -6.263 eV per atom. The calculation puts the density at 5.20 g cm⁻³. The volume comes out at 534.9 Å³ per cell.

Lattice parameters (Å, degrees): 3.8394 3.8394 41.9029 90.00 90.00 120.00
Space group R-3m (No. 166, hexagonal axes)
Inequivalent atoms, fractional coordinates:
1 Rb 0.0000 0.0000 0.0000 [3 per cell]
2 Eu 0.0000 0.0000 0.0968 [6 per cell]
3 Tm 0.0000 0.0000 0.5000 [3 per cell]

BaSO6: optimized geometry, PBE-GGA.

For the formation energy without anion corrections, the calculation gives -873 meV/atom. As for the crystal system: trigonal. The spin magnetization is 4.0 μB/f.u. The total DFT energy (no corrections) is -5.348 eV per atom. The calculation puts the density at 4.02 g cm⁻³. The volume comes out at 329.3 Å³ per cell.

Lattice parameters (Å, degrees): 7.2421 7.2421 7.2478 90.00 90.00 120.00
Space group R-3m (No. 166, hexagonal axes)
Inequivalent atoms, fractional coordinates:
1 Ba 0.0000 0.0000 0.0000 [3 per cell]
2 S 0.0000 0.0000 0.5000 [3 per cell]
3 O 0.1038 0.2075 0.6352 [18 per cell]

Dy3HoGa2: optimized geometry, PBE-GGA.

As for the crystal system: orthorhombic. Its energy of formation from the pure elements is -0.43 eV per atom. The spin magnetization is 0.0 μB/f.u. The total DFT energy (no corrections) is -4.501 eV per atom. The calculation puts the density at 8.58 g cm⁻³. The volume comes out at 306.6 Å³ per cell. The relative energy among the computed polymorphs is 0.0000 eV per atom.

Lattice parameters (Å, degrees): 4.9526 9.4444 6.5546 90.00 90.00 90.00
Space group Pmc2_1 (No. 26)
Inequivalent atoms, fractional coordinates:
1 Dy 0.0000 0.0486 0.0000 [2 per cell]
2 Dy 0.0000 0.3225 0.3576 [2 per cell]
3 Dy 0.5000 0.1792 0.7081 [2 per cell]
4 Ho 0.5000 0.4507 0.0655 [2 per cell]
5 Ga 0.0000 0.3582 0.8245 [2 per cell]
6 Ga 0.5000 0.1418 0.2416 [2 per cell]

PrGa2Br5: optimized geometry, PBE-GGA.

For the formation energy without anion corrections, the calculation gives -1198 meV/atom. As for the crystal system: monoclinic. The spin magnetization is 0.0 μB/f.u. The total DFT energy (no corrections) is -3.598 eV per atom. The calculation puts the density at 3.66 g cm⁻³. The volume comes out at 1233.2 Å³ per cell.

Lattice parameters (Å, degrees): 15.6497 7.8688 10.9667 90.00 114.05 90.00
Space group Cc (No. 9)
Inequivalent atoms, fractional coordinates:
1 Pr 0.0000 0.9997 0.0000 [4 per cell]
2 Ga 0.1195 0.4730 0.2156 [4 per cell]
3 Ga 0.3811 0.0260 0.7846 [4 per cell]
4 Br 0.0000 0.1520 0.7501 [4 per cell]
5 Br 0.0807 0.3179 0.4588 [4 per cell]
6 Br 0.1821 0.1553 0.1472 [4 per cell]
7 Br 0.3181 0.3438 0.8527 [4 per cell]
8 Br 0.4196 0.1825 0.5416 [4 per cell]

TaSbW: optimized geometry, PBE-GGA.

For the formation energy without anion corrections, the calculation gives 329 meV/atom. As for the crystal system: monoclinic. The spin magnetization is 0.0 μB/f.u. The total DFT energy (no corrections) is -9.314 eV per atom. The calculation puts the density at 14.58 g cm⁻³. The volume comes out at 110.8 Å³ per cell. The relative energy among the computed polymorphs is 0.0000 eV per atom.

Lattice parameters (Å, degrees): 9.8310 3.4672 3.4736 90.00 110.61 90.00
Space group Cm (No. 8)
Inequivalent atoms, fractional coordinates:
1 Ta 0.0000 0.0000 0.0000 [2 per cell]
2 Sb 0.1761 0.5000 0.6632 [2 per cell]
3 W 0.3465 0.0000 0.3155 [2 per cell]

Pa2AlIr: optimized geometry, PBE-GGA.

As for the crystal system: tetragonal. Its energy of formation from the pure elements is -0.47 eV per atom. The spin magnetization is 0.0 μB/f.u. The total DFT energy (no corrections) is -8.365 eV per atom. The calculation puts the density at 14.09 g cm⁻³. The volume comes out at 80.3 Å³ per cell. The relative energy among the computed polymorphs is 0.0000 eV per atom.

Lattice parameters (Å, degrees): 4.2824 4.2824 4.3768 90.00 90.00 90.00
Space group P4/mmm (No. 123)
Inequivalent atoms, fractional coordinates:
1 Pa 0.0000 0.5000 0.0000 [2 per cell]
2 Al 0.0000 0.0000 0.5000 [1 per cell]
3 Ir 0.5000 0.5000 0.5000 [1 per cell]

MgTi2TlO: optimized geometry, PBE-GGA.

For the formation energy without anion corrections, the calculation gives 1256 meV/atom. As for the crystal system: tetragonal. The spin magnetization is 3.0 μB/f.u. The total DFT energy (no corrections) is -3.685 eV per atom. The calculation puts the density at 4.05 g cm⁻³. The volume comes out at 139.7 Å³ per cell.

Lattice parameters (Å, degrees): 5.2483 5.2483 5.0705 90.00 90.00 90.00
Space group P4/mmm (No. 123)
Inequivalent atoms, fractional coordinates:
1 Mg 0.0000 0.0000 0.0000 [1 per cell]
2 Ti 0.0000 0.5000 0.5000 [2 per cell]
3 Tl 0.0000 0.0000 0.5000 [1 per cell]
4 O 0.5000 0.5000 0.0000 [1 per cell]

Er4ZnNi2Ru: optimized geometry, PBE-GGA.

As for the crystal system: trigonal. Its energy of formation from the pure elements is -0.42 eV per atom. The spin magnetization is 0.0 μB/f.u. The total DFT energy (no corrections) is -5.463 eV per atom. The calculation puts the density at 10.01 g cm⁻³. The volume comes out at 474.2 Å³ per cell.

Lattice parameters (Å, degrees): 4.8121 4.8121 23.6459 90.00 90.00 120.00
Space group R-3m (No. 166, hexagonal axes)
Inequivalent atoms, fractional coordinates:
1 Er 0.0000 0.0000 0.1208 [6 per cell]
2 Er 0.0000 0.0000 0.3718 [6 per cell]
3 Zn 0.0000 0.0000 0.5000 [3 per cell]
4 Ni 0.0000 0.0000 0.2502 [6 per cell]
5 Ru 0.0000 0.0000 0.0000 [3 per cell]

LaPr2Se4: optimized geometry, PBE-GGA.

For the formation energy without anion corrections, the calculation gives -1918 meV/atom. As for the crystal system: orthorhombic. The spin magnetization is 0.0 μB/f.u. The total DFT energy (no corrections) is -5.978 eV per atom. The calculation puts the density at 5.84 g cm⁻³. The volume comes out at 838.2 Å³ per cell. The relative energy among the computed polymorphs is 0.0000 eV per atom.

Lattice parameters (Å, degrees): 4.1777 14.0930 14.2357 90.00 90.00 90.00
Space group Cmcm (No. 63)
Inequivalent atoms, fractional coordinates:
1 La 0.0000 0.1235 0.2500 [4 per cell]
2 Pr 0.0000 0.3696 0.0682 [8 per cell]
3 Se 0.0000 0.0000 0.0000 [4 per cell]
4 Se 0.0000 0.2758 0.6238 [8 per cell]
5 Se 0.0000 0.4700 0.2500 [4 per cell]

MnCu2SnH: optimized geometry, PBE-GGA.

As for the crystal system: tetragonal. The spin magnetization is 2.9 μB/f.u. The total DFT energy (no corrections) is -4.856 eV per atom. The calculation puts the density at 8.24 g cm⁻³. The volume comes out at 60.8 Å³ per cell.

Lattice parameters (Å, degrees): 3.9243 3.9243 3.9476 90.00 90.00 90.00
Space group P4/mmm (No. 123)
Inequivalent atoms, fractional coordinates:
1 Mn 0.0000 0.0000 0.0000 [1 per cell]
2 Cu 0.0000 0.5000 0.5000 [2 per cell]
3 Sn 0.5000 0.5000 0.0000 [1 per cell]
4 H 0.0000 0.0000 0.5000 [1 per cell]

K4YTa: optimized geometry, PBE-GGA.

As for the crystal system: cubic. Its energy of formation from the pure elements is 1.29 eV per atom. The spin magnetization is 4.9 μB/f.u. The total DFT energy (no corrections) is -2.491 eV per atom. The calculation puts the density at 2.86 g cm⁻³. The volume comes out at 988.2 Å³ per cell.

Lattice parameters (Å, degrees): 9.9606 9.9606 9.9606 90.00 90.00 90.00
Space group F-43m (No. 216)
Inequivalent atoms, fractional coordinates:
1 K 0.1231 0.1231 0.1231 [16 per cell]
2 Y 0.0000 0.0000 0.5000 [4 per cell]
3 Ta 0.2500 0.2500 0.7500 [4 per cell]

TiNiMo2: optimized geometry, PBE-GGA.

As for the crystal system: tetragonal. Its energy of formation from the pure elements is 0.41 eV per atom. The spin magnetization is 0.0 μB/f.u. The total DFT energy (no corrections) is -8.424 eV per atom. The calculation puts the density at 7.87 g cm⁻³. The volume comes out at 251.7 Å³ per cell. The relative energy among the computed polymorphs is 0.2432 eV per atom.

Lattice parameters (Å, degrees): 7.0748 7.0748 5.0295 90.00 90.00 90.00
Space group I-42d (No. 122)
Inequivalent atoms, fractional coordinates:
1 Ti 0.0000 0.0000 0.0000 [4 per cell]
2 Ni 0.0000 0.0000 0.5000 [4 per cell]
3 Mo 0.2231 0.2500 0.6250 [8 per cell]